DFT (GGA-PBE) results for an optimized crystal structure of Pr3As2P.

DOS at the Fermi energy ... 0.144 states/eV per atom
DFT formation energy ... -1.505 eV/atom
Energy above the lowest structure with this stoichiometry ... 0.000 eV/atom
Raw total energy ... -6.346 eV per atom

abc: 8.5482 12.0919 25.6337
angles: 90.00 90.00 90.00
With the nearest neighbours (Å) after each atom.
Space group Fddd (No. 70, origin choice 2)
Unique sites:
Pr  0.1200  0.3750  0.3750 x16  2 P 2.99, 4 As 3.02-3.04
Pr  0.1227  0.3726  0.2094 x32  2 P 2.99, 4 As 3.03-3.05
As  0.1250  0.1250  0.3753 x16  6 Pr 3.02-3.05
As  0.1250  0.1250  0.5421 x16  6 Pr 3.03-3.05
P  0.1250  0.1250  0.0417 x16  6 Pr 2.99